SeSO6: relaxed, PBE.

Summary:
theoretical density	4307	kg/m3
D(E_F)	2.50	states/eV/f.u.
formation energy without anion corrections	-0.08	eV per atom

Cell: 8.2705 4.9599 4.7023 Å, 90.00 124.16 90.00°
With the nearest neighbours (Å) after each atom.
Space group C2/m (No. 12)
Symmetry-distinct sites (fractional):
Se 0.0000 0.0000 0.0000 (multiplicity 2)  6 O 1.89-1.97
S 0.0000 0.5000 0.5000 (multiplicity 2)  6 O 1.67-1.69
O 0.0737 0.2660 0.3409 (multiplicity 8)  1 S 1.67
O 0.2268 0.5000 0.8640 (multiplicity 4)  1 S 1.69

***

ZnCoNiSb: relaxed, PBE.

Summary:
theoretical density	9116	kg/m3
D(E_F)	3.77	states/eV/f.u.
formation energy without anion corrections	-0.02	eV per atom

Cell: 6.0559 6.0559 6.0559 Å, 90.00 90.00 90.00°
With the nearest neighbours (Å) after each atom.
Space group F-43m (No. 216)
Symmetry-distinct sites (fractional):
Zn 0.0000 0.0000 0.0000 (multiplicity 4)  4 Co 2.62, 4 Ni 2.62
Co 0.2500 0.2500 0.2500 (multiplicity 4)  4 Sb 2.62, 4 Zn 2.62
Ni 0.2500 0.2500 0.7500 (multiplicity 4)  4 Sb 2.62, 4 Zn 2.62
Sb 0.0000 0.0000 0.5000 (multiplicity 4)  4 Ni 2.62, 4 Co 2.62

***

BeMo2Br: relaxed, PBE.

Summary:
relative energy among the computed polymorphs	584.4	meV/atom
theoretical density	7484	kg/m3
D(E_F)	3.51	states/eV/f.u.
formation energy without anion corrections	0.90	eV per atom

Cell: 3.0388 4.4947 4.5612 Å, 90.00 90.00 90.00°
With the nearest neighbours (Å) after each atom.
Space group Pmmm (No. 47)
Symmetry-distinct sites (fractional):
Be 0.0000 0.0000 0.0000 (multiplicity 1)  4 Mo 2.71, 4 Br 2.74
Mo 0.0000 0.5000 0.5000 (multiplicity 1)  4 Br 2.71, 4 Mo 2.74
Mo 0.5000 0.5000 0.0000 (multiplicity 1)  4 Be 2.71, 4 Mo 2.74
Br 0.5000 0.0000 0.5000 (multiplicity 1)  4 Mo 2.71, 4 Be 2.74

***

CsK11Rb17: relaxed, PBE.

Summary:
theoretical density	1359	kg/m3
DFT formation energy	0.01	eV per atom
D(E_F)	21.37	states/eV/f.u.

Cell: 17.0015 24.0687 14.6855 Å, 90.00 124.96 90.00°
With the nearest neighbours (Å) after each atom.
Space group Cm (No. 8)
Symmetry-distinct sites (fractional):
Cs 0.0000 0.0000 0.0000 (multiplicity 2)  3 K 4.59-4.65, 5 Rb 4.80-5.08
K 0.0570 0.3154 0.3685 (multiplicity 4)  3 K 4.38-4.47, 3 Rb 4.67-4.85
K 0.0985 0.0954 0.8062 (multiplicity 4)  2 K 4.37-4.59, 3 Rb 4.61-4.89, 1 Cs 4.65
K 0.1497 0.4086 0.1821 (multiplicity 4)  3 K 4.40-4.47, 3 Rb 4.65-4.87
K 0.1922 0.0000 0.3815 (multiplicity 2)  2 K 4.44, 1 Cs 4.59, 3 Rb 4.62-4.73
K 0.3718 0.1846 0.9977 (multiplicity 4)  3 K 4.37-4.47, 3 Rb 4.66-4.84
K 0.4661 0.0937 0.5514 (multiplicity 4)  3 K 4.38-4.51, 3 Rb 4.69-4.85
Rb 0.0742 0.2966 0.8662 (multiplicity 4)  5 K 4.69-5.04, 7 Rb 4.79-5.17
Rb 0.1774 0.5000 0.8998 (multiplicity 2)  5 Rb 4.71-5.13, 1 Cs 4.80, 4 K 4.81-4.95
Rb 0.1964 0.1809 0.1859 (multiplicity 4)  3 Rb 4.75-4.87, 5 K 5.09-5.24, 1 Cs 5.21
Rb 0.2138 0.1583 0.5855 (multiplicity 4)  5 K 4.67-5.06, 7 Rb 4.81-5.20
Rb 0.2269 0.5000 0.5374 (multiplicity 2)  4 Rb 4.79-5.20, 6 K 5.08-5.10
Rb 0.3026 0.3382 0.7708 (multiplicity 4)  4 K 4.66-5.01, 5 Rb 4.85-5.14, 1 Cs 4.98
Rb 0.3681 0.0000 0.8246 (multiplicity 2)  4 Rb 4.71-5.21, 6 K 4.99-5.15
Rb 0.3759 0.0000 0.1845 (multiplicity 2)  11 K 5.17-5.34, 4 Rb 5.20-5.32, 1 Cs 5.32
Rb 0.3904 0.2975 0.4990 (multiplicity 4)  5 K 4.61-5.03, 7 Rb 4.75-5.15
Rb 0.4144 0.3575 0.1846 (multiplicity 4)  4 K 4.65-5.18, 6 Rb 4.87-5.15, 1 Cs 5.08
Rb 0.4631 0.5000 0.4572 (multiplicity 2)  5 K 4.62-4.99, 5 Rb 4.79-5.15

***

ScUPa2C4: relaxed, PBE.

Summary:
theoretical density	10730	kg/m3
DFT formation energy	-0.37	eV per atom
D(E_F)	7.70	states/eV/f.u.

Cell: 6.0345 3.5438 6.0912 Å, 90.00 109.57 90.00°
With the nearest neighbours (Å) after each atom.
Space group P2/m (No. 10)
Symmetry-distinct sites (fractional):
Sc 0.0000 0.0000 0.0000 (multiplicity 1)  6 C 2.43-2.49
U 0.5000 0.5000 0.0000 (multiplicity 1)  6 C 2.42-2.43
Pa 0.0000 0.5000 0.5000 (multiplicity 1)  6 C 2.53-2.55
Pa 0.5000 0.0000 0.5000 (multiplicity 1)  6 C 2.49-2.52
C 0.2558 0.5000 0.2451 (multiplicity 2)  1 U 2.42, 3 Pa 2.49-2.53, 2 Sc 2.49
C 0.2581 0.0000 0.7668 (multiplicity 2)  2 U 2.43, 1 Sc 2.43, 3 Pa 2.52-2.55

***

BaCrBr2: relaxed, PBE.

Summary:
relative energy among the computed polymorphs	115.5	meV/atom
theoretical density	4658	kg/m3
D(E_F)	2.65	states/eV/f.u.
formation energy without anion corrections	-0.68	eV per atom

Cell: 4.0653 4.2996 7.1199 Å, 90.00 90.09 90.00°
With the nearest neighbours (Å) after each atom.
Space group P2/m (No. 10)
Symmetry-distinct sites (fractional):
Ba 0.0000 0.0000 0.0000 (multiplicity 1)  8 Br 3.44
Cr 0.5000 0.0000 0.5000 (multiplicity 1)  4 Br 2.81
Br 0.5003 0.5000 0.2465 (multiplicity 2)  2 Cr 2.81

***

Sm2B3Pt12Rh: relaxed, PBE.

Summary:
theoretical density	14474	kg/m3
DFT formation energy	-0.31	eV per atom
D(E_F)	10.31	states/eV/f.u.

Cell: 7.9676 7.9676 17.3859 Å, 90.00 90.00 120.00°
With the nearest neighbours (Å) after each atom.
Space group R-3m (No. 166, hexagonal axes)
Symmetry-distinct sites (fractional):
Sm 0.0000 0.0000 0.1029 (multiplicity 6)  6 Pt 2.93-3.06
B 0.0000 0.5000 0.0000 (multiplicity 9)  6 Pt 2.11-2.16
Pt 0.0102 0.5051 0.8785 (multiplicity 18)  1 B 2.11
Pt 0.0581 0.5291 0.3536 (multiplicity 18)  2 B 2.16
Rh 0.0000 0.0000 0.5000 (multiplicity 3)  6 Pt 2.50

***

SrPm2Dy: relaxed, PBE.

Summary:
relative energy among the computed polymorphs	0.0	meV/atom
theoretical density	6032	kg/m3
DFT formation energy	0.10	eV per atom
D(E_F)	5.65	states/eV/f.u.

Cell: 3.7233 3.7233 10.7259 Å, 90.00 90.00 90.00°
With the nearest neighbours (Å) after each atom.
Space group P4/mmm (No. 123)
Symmetry-distinct sites (fractional):
Sr 0.0000 0.0000 0.0000 (multiplicity 1)  4 Sr 3.72, 8 Pm 3.97
Pm 0.5000 0.5000 0.2775 (multiplicity 2)  4 Dy 3.55, 4 Pm 3.72, 4 Sr 3.97
Dy 0.0000 0.0000 0.5000 (multiplicity 1)  8 Pm 3.55, 4 Dy 3.72

***

HfMgBeIr: relaxed, PBE.

Summary:
theoretical density	10631	kg/m3
DFT formation energy	-0.38	eV per atom
D(E_F)	3.28	states/eV/f.u.

Cell: 6.3200 6.3200 6.3200 Å, 90.00 90.00 90.00°
With the nearest neighbours (Å) after each atom.
Space group F-43m (No. 216)
Symmetry-distinct sites (fractional):
Hf 0.0000 0.0000 0.0000 (multiplicity 4)  4 Be 2.74, 4 Ir 2.74
Mg 0.0000 0.0000 0.5000 (multiplicity 4)  4 Be 2.74, 4 Ir 2.74
Be 0.2500 0.2500 0.2500 (multiplicity 4)  4 Mg 2.74, 4 Hf 2.74
Ir 0.2500 0.2500 0.7500 (multiplicity 4)  4 Hf 2.74, 4 Mg 2.74

***

Nd2ErSe2S2: relaxed, PBE.

Summary:
theoretical density	5934	kg/m3
D(E_F)	2.71	states/eV/f.u.
formation energy without anion corrections	-1.65	eV per atom

Cell: 5.0324 5.0324 14.9795 Å, 90.00 90.00 90.00°
With the nearest neighbours (Å) after each atom.
Space group I4/mmm (No. 139)
Symmetry-distinct sites (fractional):
Nd 0.0000 0.0000 0.1238 (multiplicity 4)  1 Se 2.87, 4 S 3.13
Er 0.0000 0.0000 0.5000 (multiplicity 2)  4 S 2.52, 2 Se 2.77
Se 0.0000 0.0000 0.3151 (multiplicity 4)  1 Er 2.77, 1 Nd 2.87
S 0.0000 0.5000 0.0000 (multiplicity 4)  2 Er 2.52

***

PmThScSn: relaxed, PBE.

Summary:
theoretical density	8240	kg/m3
DFT formation energy	-0.17	eV per atom
D(E_F)	4.46	states/eV/f.u.

Cell: 7.5821 7.5821 7.5821 Å, 90.00 90.00 90.00°
With the nearest neighbours (Å) after each atom.
Space group F-43m (No. 216)
Symmetry-distinct sites (fractional):
Pm 0.0000 0.0000 0.0000 (multiplicity 4)  4 Th 3.28, 4 Sn 3.28
Th 0.2500 0.2500 0.2500 (multiplicity 4)  4 Pm 3.28, 4 Sc 3.28
Sc 0.0000 0.0000 0.5000 (multiplicity 4)  4 Sn 3.28, 4 Th 3.28
Sn 0.2500 0.2500 0.7500 (multiplicity 4)  4 Pm 3.28, 4 Sc 3.28

***

Ce2LuIn: relaxed, PBE.

Summary:
relative energy among the computed polymorphs	119.9	meV/atom
theoretical density	8079	kg/m3
DFT formation energy	-0.09	eV per atom
D(E_F)	11.07	states/eV/f.u.

Cell: 4.1990 4.1990 6.6453 Å, 90.00 90.00 90.00°
With the nearest neighbours (Å) after each atom.
Space group P4/mmm (No. 123)
Symmetry-distinct sites (fractional):
Ce 0.0000 0.0000 0.2144 (multiplicity 2)  1 Ce 2.85
Lu 0.5000 0.5000 0.5000 (multiplicity 1)  2 In 3.32, 8 Ce 3.52
In 0.5000 0.5000 0.0000 (multiplicity 1)  8 Ce 3.29, 2 Lu 3.32

***

Tb2Nd6Dy5: relaxed, PBE.

Summary:
theoretical density	7529	kg/m3
DFT formation energy	0.10	eV per atom
D(E_F)	15.01	states/eV/f.u.

Cell: 11.7537 20.6213 3.6324 Å, 90.00 90.00 90.00°
With the nearest neighbours (Å) after each atom.
Space group Pbam (No. 55)
Symmetry-distinct sites (fractional):
Tb 0.1669 0.2116 0.0000 (multiplicity 4)  3 Nd 3.37-3.68, 6 Dy 3.56-3.71, 2 Tb 3.63
Nd 0.0601 0.9205 0.0000 (multiplicity 4)  6 Dy 3.54-3.71, 5 Nd 3.57-3.78, 1 Tb 3.81
Nd 0.0819 0.6333 0.0000 (multiplicity 4)  1 Tb 3.37, 6 Dy 3.43-3.54, 4 Nd 3.52-3.63
Nd 0.1745 0.3665 0.5000 (multiplicity 4)  2 Dy 3.34-3.43, 4 Nd 3.52-3.63, 2 Tb 3.68
Dy 0.0000 0.5000 0.5000 (multiplicity 2)  6 Nd 3.43, 4 Dy 3.63-3.72
Dy 0.0920 0.7744 0.5000 (multiplicity 4)  5 Nd 3.34-3.54, 4 Tb 3.56-3.61, 2 Dy 3.63
Dy 0.1986 0.0558 0.5000 (multiplicity 4)  6 Nd 3.54-3.71, 3 Dy 3.63-3.72, 2 Tb 3.71

***

Pm8ZnPb6: relaxed, PBE.

Summary:
theoretical density	8172	kg/m3
DFT formation energy	-0.42	eV per atom
D(E_F)	6.65	states/eV/f.u.

Cell: 9.4551 9.4551 19.4363 Å, 90.00 90.00 120.00°
With the nearest neighbours (Å) after each atom.
Space group R-3 (No. 148, hexagonal axes)
Symmetry-distinct sites (fractional):
Pm 0.0000 0.0000 0.1680 (multiplicity 6)  6 Pb 3.30-3.35
Pm 0.0056 0.2779 0.5937 (multiplicity 18)  5 Pb 3.16-3.42, 1 Zn 3.18
Zn 0.0000 0.0000 0.5000 (multiplicity 3)  6 Pm 3.18
Pb 0.0025 0.3743 0.4243 (multiplicity 18)  7 Pm 3.16-3.42